Crystalline Ta3CoRu2 at its relaxed geometry, computed with PBE-GGA.

The density of states at the Fermi level comes out at 17.25 states/eV per cell. For the volume, the calculation gives 15.468 Å³/atom. The value obtained for the energy of formation is -0.28 eV per atom.

It has space group Cmmm (No. 65), with a = 4.380 Å, b = 13.535 Å, c = 6.262 Å, α = 90.00°, β = 90.00° and γ = 90.00°. Symmetry generates all atoms from Ta at (0.000, 0.000, 0.247), Ta at (0.000, 0.325, 0.267), Co at (0.000, 0.141, 0.500), Ru at (0.000, 0.167, 0.000), Ru at (0.000, 0.500, 0.000) and Ru at (0.000, 0.500, 0.500).

***

Crystalline TaCoRu2 at its relaxed geometry, computed with PBE-GGA.

The density of states at the Fermi level comes out at 10.47 states/eV per cell. For the volume, the calculation gives 14.125 Å³/atom. The value obtained for the energy of formation is -0.08 eV per atom.

It has space group I4/mmm (No. 139), with a = 3.873 Å, b = 3.873 Å, c = 7.534 Å, α = 90.00°, β = 90.00° and γ = 90.00°. Symmetry generates all atoms from Ta at (0.000, 0.000, 0.000), Co at (0.000, 0.000, 0.500) and Ru at (0.000, 0.500, 0.250).

***

Crystalline Ta6Co5Ru at its relaxed geometry, computed with PBE-GGA.

The density of states at the Fermi level comes out at 11.73 states/eV per cell. For the volume, the calculation gives 14.574 Å³/atom. The value obtained for the energy of formation is -0.16 eV per atom.

It has space group P-1 (No. 2), with a = 4.602 Å, b = 5.788 Å, c = 6.901 Å, α = 90.00°, β = 107.94° and γ = 90.06°. Symmetry generates all atoms from Ta at (0.000, 0.246, 0.000), Ta at (0.290, 0.248, 0.655), Ta at (0.290, 0.751, 0.655), Co at (0.230, 0.500, 0.328), Co at (0.234, 0.000, 0.321), Co at (0.500, 0.000, 0.000) and Ru at (0.500, 0.500, 0.000).

***

Crystalline TaCoRu2 at its relaxed geometry, computed with PBE-GGA.

The density of states at the Fermi level comes out at 25.12 states/eV per cell. For the volume, the calculation gives 14.528 Å³/atom. The value obtained for the energy of formation is 0.13 eV per atom.

It has space group F-43m (No. 216), with a = 6.149 Å, b = 6.149 Å, c = 6.149 Å, α = 90.00°, β = 90.00° and γ = 90.00°. Symmetry generates all atoms from Ta at (0.000, 0.000, 0.000), Co at (0.250, 0.250, 0.750), Ru at (0.000, 0.000, 0.500) and Ru at (0.250, 0.250, 0.250).

***

Crystalline TaCoRu2 at its relaxed geometry, computed with PBE-GGA.

The density of states at the Fermi level comes out at 16.26 states/eV per cell. For the volume, the calculation gives 14.490 Å³/atom. The value obtained for the energy of formation is 0.17 eV per atom.

It has space group R-3m (No. 166, hexagonal axes), with a = 2.7541 Å, b = 2.7541 Å, c = 26.4713 Å, α = 90.00°, β = 90.00° and γ = 120.00°. Symmetry generates all atoms from Ta at (0.0000, 0.0000, 0.0000), Co at (0.0000, 0.0000, 0.5000) and Ru at (0.0000, 0.0000, 0.2443).

***

Crystalline Ta3CoRu at its relaxed geometry, computed with PBE-GGA.

The density of states at the Fermi level comes out at 5.47 states/eV per cell. For the volume, the calculation gives 21.416 Å³/atom. The value obtained for the energy of formation is 1.41 eV per atom. The polymorph energy (0 for the lowest one) comes out at 580 meV per atom.

It has space group Pm-3m (No. 221), with a = 4.749 Å, b = 4.749 Å, c = 4.749 Å, α = 90.00°, β = 90.00° and γ = 90.00°. Symmetry generates all atoms from Ta at (0.000, 0.000, 0.500), Co at (0.500, 0.500, 0.500) and Ru at (0.000, 0.000, 0.000).

***

Crystalline TaCoRu at its relaxed geometry, computed with PBE-GGA.

The density of states at the Fermi level comes out at 6.27 states/eV per cell. For the volume, the calculation gives 14.547 Å³/atom. The value obtained for the energy of formation is -0.11 eV per atom. The polymorph energy (0 for the lowest one) comes out at 186 meV per atom.

It has space group I4mm (No. 107), with a = 3.155 Å, b = 3.155 Å, c = 8.768 Å, α = 90.00°, β = 90.00° and γ = 90.00°. Symmetry generates all atoms from Ta at (0.000, 0.000, 0.000), Co at (0.000, 0.000, 0.658) and Ru at (0.000, 0.000, 0.334).

***

Crystalline TaCoRu2 at its relaxed geometry, computed with PBE-GGA.

The density of states at the Fermi level comes out at 7.31 states/eV per cell. For the volume, the calculation gives 14.205 Å³/atom. The value obtained for the energy of formation is -0.03 eV per atom.

It has space group Cm (No. 8), with a = 8.951 Å, b = 2.808 Å, c = 4.611 Å, α = 90.00°, β = 101.28° and γ = 90.00°. Symmetry generates all atoms from Ta at (0.000, 0.000, 0.000), Co at (0.248, 0.500, 0.238), Ru at (0.241, 0.000, 0.711) and Ru at (0.493, 0.000, 0.489).

***

energy of formation of number 5 (TaCoRu2)?
0.17 eV per atom